Entry 1:
VASP calculation (PBE-GGA) on a geometry-optimized Cs2ZnTcF6 structure.

a b c (Å): 6.1198 6.1198 6.1203
angles (deg): 60.00 60.00 90.00
Closest atoms and distances in Å follow each position.
Sites, in units of the cell vectors:
Cs (0.7500, 0.2500, 0.5000)  12 F 3.06
Cs (0.2500, 0.7500, 0.5000)  12 F 3.06
Zn (0.5000, 0.5000, 0.0000)  6 F 2.12
Tc (0.0000, 0.0000, 0.0000)  6 F 2.21
F (0.2552, 0.2552, 0.4896)  1 Zn 2.12, 1 Tc 2.21
F (0.7448, 0.7448, 0.5104)  1 Zn 2.12, 1 Tc 2.21
F (0.2554, 0.2554, 0.0000)  1 Zn 2.12, 1 Tc 2.21
F (0.7446, 0.7446, 0.0000)  1 Zn 2.12, 1 Tc 2.21
F (0.7446, 0.2554, 0.0000)  1 Zn 2.12, 1 Tc 2.21
F (0.2554, 0.7446, 0.0000)  1 Zn 2.12, 1 Tc 2.21

Results
The calculation puts the total energy at -45.29 eV per cell. For the density, the calculation gives 5.565 g/cm3.

Entry 2:
VASP calculation (PBE-GGA) on a geometry-optimized Cs6TeF12 structure.

a b c (Å): 8.4696 8.4696 8.4696
angles (deg): 99.48 99.48 99.48
Closest atoms and distances in Å follow each position.
Sites, in units of the cell vectors:
Cs (0.6578, 0.8481, 0.4079)  4 F 2.82-2.91
Cs (0.5921, 0.3422, 0.1519)  4 F 2.82-2.91
Cs (0.1519, 0.5921, 0.3422)  4 F 2.82-2.91
Cs (0.3422, 0.1519, 0.5921)  4 F 2.82-2.91
Cs (0.4079, 0.6578, 0.8481)  4 F 2.82-2.91
Cs (0.8481, 0.4079, 0.6578)  4 F 2.82-2.91
Te (0.0000, 0.0000, 0.0000)  6 F 1.95
F (0.8295, 0.5889, 0.3946)  4 Cs 2.82-2.91
F (0.3946, 0.8295, 0.5889)  4 Cs 2.82-2.91
F (0.5889, 0.3946, 0.8295)  4 Cs 2.82-2.91
F (0.1705, 0.4111, 0.6054)  4 Cs 2.82-2.91
F (0.6054, 0.1705, 0.4111)  4 Cs 2.82-2.91
F (0.4111, 0.6054, 0.1705)  4 Cs 2.82-2.91
F (0.0658, 0.9859, 0.2277)  1 Te 1.95
F (0.0141, 0.7723, 0.9342)  1 Te 1.95
F (0.7723, 0.9342, 0.0141)  1 Te 1.95
F (0.9342, 0.0141, 0.7723)  1 Te 1.95
F (0.9859, 0.2277, 0.0658)  1 Te 1.95
F (0.2277, 0.0658, 0.9859)  1 Te 1.95

Results
The calculation puts the total energy at -76.02 eV per cell. For the density, the calculation gives 3.304 g/cm3.

Entry 3:
VASP calculation (PBE-GGA) on a geometry-optimized Cs4TeF2 structure.

a b c (Å): 10.2667 10.2658 8.7429
angles (deg): 107.08 107.08 119.96
Closest atoms and distances in Å follow each position.
Sites, in units of the cell vectors:
Cs (0.9964, 0.2537, 0.4182)  2 F 2.87-2.91
Cs (0.3291, 0.4868, 0.1893)  2 F 2.91
Cs (0.8355, 0.5780, 0.5822)  2 F 2.87-2.91
Cs (0.7368, 0.0794, 0.6896)  2 F 2.91
Cs (0.3900, 0.0479, 0.3100)  2 F 2.91
Cs (0.2979, 0.1399, 0.8104)  2 F 2.91
Cs (0.5036, 0.7461, 0.9178)  2 F 2.87-2.91
Cs (0.8279, 0.5857, 0.0824)  2 F 2.87-2.91
Te (0.2289, 0.7290, 0.4998)  8 Cs 3.80-3.95
Te (0.9789, 0.9789, 0.9998)  8 Cs 3.80-3.95
F (0.6796, 0.3314, 0.6992)  4 Cs 2.87-2.91
F (0.6326, 0.9813, 0.3009)  4 Cs 2.87-2.91
F (0.5811, 0.4295, 0.1991)  4 Cs 2.87-2.91
F (0.2317, 0.3827, 0.8012)  4 Cs 2.87-2.91

Results
The value obtained for the offset from the most stable computed form is 0.0000 eV/atom. For the density, the calculation gives 3.583 g/cm3.

Entry 4:
VASP calculation (PBE-GGA) on a geometry-optimized CsTeF6 structure.

a b c (Å): 5.5348 5.5348 5.5224
angles (deg): 82.98 82.98 96.19
Closest atoms and distances in Å follow each position.
Sites, in units of the cell vectors:
Cs (0.5000, 0.5000, 0.5000)  12 F 3.17-3.42
Te (0.0000, 0.0000, 0.0000)  6 F 1.98
F (0.0826, 0.7467, 0.2522)  1 Te 1.98
F (0.7467, 0.0826, 0.2522)  1 Te 1.98
F (0.2533, 0.9174, 0.7478)  1 Te 1.98
F (0.9174, 0.2533, 0.7478)  1 Te 1.98
F (0.2492, 0.2492, 0.0845)  1 Te 1.98
F (0.7508, 0.7508, 0.9155)  1 Te 1.98

Results
The value obtained for the offset from the most stable computed form is 0.0000 eV/atom. For the density, the calculation gives 3.761 g/cm3.